Arrangement a

DFT (PBE) results for a geometry-optimized LiZrGa structure.

a = 3.3293 Å, b = 4.3065 Å, c = 7.5484 Å
α = 90.00°, β = 90.00°, γ = 90.00°
Last column: nearest neighbours and their distance in Å.
Space group Pmm2 (No. 25)
Unique sites:
1 Li 0.0000 0.0000 0.0000  2 Li 2.59, 6 Ga 2.69-2.77
2 Li 0.5000 0.0000 0.2626  2 Li 2.59, 2 Ga 2.60
3 Zr 0.0000 0.5000 0.4129  3 Ga 2.82-3.08, 4 Li 2.95
4 Zr 0.5000 0.0000 0.6539  4 Ga 2.90, 3 Li 2.95-3.10
5 Ga 0.0000 0.5000 0.7869  2 Li 2.69, 2 Ga 2.70, 5 Zr 2.82-2.90
6 Ga 0.5000 0.5000 0.0689  6 Li 2.60-2.77, 2 Ga 2.70

Summary:
- Magnetization: 0.00 μB/cell
- DOS at the Fermi energy: 4.07 states/eV/cell


Arrangement b

DFT (PBE) results for a geometry-optimized LiZrGa structure.

a = 4.7858 Å, b = 14.9049 Å, c = 3.2399 Å
α = 90.00°, β = 90.00°, γ = 90.00°
Last column: nearest neighbours and their distance in Å.
Space group Cmcm (No. 63)
Unique sites:
1 Li 0.0000 0.2247 0.2500  2 Ga 2.76, 4 Li 2.99
2 Zr 0.0000 0.4175 0.7500  4 Ga 2.89, 2 Zr 2.94, 2 Li 3.20
3 Ga 0.0000 0.0745 0.7500  2 Ga 2.75, 2 Li 2.76, 4 Zr 2.89

Summary:
- Magnetization: 0.00 μB/cell
- DOS at the Fermi energy: 6.33 states/eV/cell


Arrangement c

DFT (PBE) results for a geometry-optimized LiZrGa structure.

a = 9.5527 Å, b = 4.3817 Å, c = 6.8558 Å
α = 90.00°, β = 133.00°, γ = 90.00°
Last column: nearest neighbours and their distance in Å.
Space group C2/m (No. 12)
Unique sites:
1 Li 0.0854 0.0000 0.2379  1 Li 2.46, 2 Ga 2.50
2 Zr 0.2282 0.0000 0.7718  6 Ga 2.84-3.09, 4 Li 2.85-2.95
3 Ga 0.0198 0.5000 0.3385  1 Ga 2.49, 3 Li 2.50-2.78

Summary:
- Magnetization: 0.00 μB/cell
- DOS at the Fermi energy: 3.52 states/eV/cell


In terms of stability, arrangement c leads; the second structure lies 2.0 kJ/mol of atoms higher.


Arrangement a

DFT (PBE) results for a geometry-optimized LiZrGa structure.

a = 3.4088 Å, b = 4.1895 Å, c = 15.5359 Å
α = 90.00°, β = 90.00°, γ = 90.00°
Last column: nearest neighbours and their distance in Å.
Space group Immm (No. 71)
Unique sites:
1 Li 0.0000 0.0000 0.0000  4 Ga 2.63, 4 Li 2.70
2 Li 0.0000 0.0000 0.5000  4 Li 2.70, 4 Ga 2.89
3 Zr 0.0000 0.5000 0.1854  5 Ga 2.84-2.89
4 Ga 0.0000 0.5000 0.3714  4 Li 2.63-2.89, 5 Zr 2.84-2.89

Summary:
- Magnetization: 0.00 μB/cell
- DOS at the Fermi energy: 9.04 states/eV/cell


Arrangement b

DFT (PBE) results for a geometry-optimized LiZrGa structure.

a = 10.3829 Å, b = 3.2255 Å, c = 6.8823 Å
α = 90.00°, β = 108.29°, γ = 90.00°
Last column: nearest neighbours and their distance in Å.
Space group C2/m (No. 12)
Unique sites:
1 Li 0.1686 0.0000 0.0805  4 Ga 2.69-2.71, 2 Li 2.80
2 Zr 0.1436 0.0000 0.5507  3 Zr 2.84-2.99, 4 Ga 2.90-3.05, 2 Li 3.12
3 Ga 0.0021 0.5000 0.8005  4 Li 2.69-2.71, 1 Ga 2.76, 2 Zr 2.90

Summary:
- Magnetization: 0.00 μB/cell
- DOS at the Fermi energy: 8.18 states/eV/cell


In terms of stability, arrangement a leads; the second structure lies 10.5 kJ/mol of atoms higher.